1.
An optimized crystal structure of Mn2CoHg, computed with GGA-PBE.

Calculated values
The calculation puts the formation energy at 416 meV per atom. Its space group is No. 216.

a = 4.3746 Å, b = 4.3746 Å, c = 4.3746 Å
α = 60.00°, β = 60.00°, γ = 60.00°
With the nearest neighbours (Å) after each atom.
Fractional coordinates of all 4 atoms:
1 Mn 0.0000 0.0000 0.0000  4 Mn 2.68, 4 Co 2.68
2 Mn 0.2500 0.2500 0.2500  4 Hg 2.68, 4 Mn 2.68
3 Co 0.7500 0.7500 0.7500  4 Hg 2.68, 4 Mn 2.68
4 Hg 0.5000 0.5000 0.5000  4 Co 2.68, 4 Mn 2.68



2.
An optimized crystal structure of K2TePt2, computed with GGA-PBE.

Calculated values
Its space group is No. 127.

a = 7.0234 Å, b = 7.0234 Å, c = 5.3462 Å
α = 90.00°, β = 90.00°, γ = 90.00°
With the nearest neighbours (Å) after each atom.
Fractional coordinates of all 10 atoms:
1 K 0.1735 0.3265 0.0000  6 Pt 3.29-3.45, 5 K 3.45-3.67
2 K 0.3265 0.8265 0.0000  6 Pt 3.29-3.45, 5 K 3.45-3.67
3 K 0.6735 0.1735 0.0000  6 Pt 3.29-3.45, 5 K 3.45-3.67
4 K 0.8265 0.6735 0.0000  6 Pt 3.29-3.45, 5 K 3.45-3.67
5 Te 0.0000 0.0000 0.5000  4 Pt 2.74
6 Te 0.5000 0.5000 0.5000  4 Pt 2.74
7 Pt 0.1339 0.6339 0.5000  1 Pt 2.66, 2 Te 2.74
8 Pt 0.3661 0.1339 0.5000  1 Pt 2.66, 2 Te 2.74
9 Pt 0.6339 0.8661 0.5000  1 Pt 2.66, 2 Te 2.74
10 Pt 0.8661 0.3661 0.5000  1 Pt 2.66, 2 Te 2.74



3.
An optimized crystal structure of AgHg4Pd3, computed with GGA-PBE.

Calculated values
For the polymorph energy (0 for the lowest one), the calculation gives 0.000 eV per atom. The calculation puts the formation energy at -87 meV per atom. Its space group is No. 12.

a = 8.1726 Å, b = 8.1726 Å, c = 4.4329 Å
α = 105.56°, β = 105.56°, γ = 31.46°
With the nearest neighbours (Å) after each atom.
Fractional coordinates of all 8 atoms:
1 Ag 0.0000 0.0000 0.0000  8 Hg 2.93-2.95, 4 Pd 3.13
2 Hg 0.1279 0.1279 0.6281  6 Pd 2.88-2.94, 2 Ag 2.93-2.95, 4 Hg 3.13-3.14
3 Hg 0.3721 0.3721 0.8715  6 Pd 2.87-2.95, 2 Ag 2.94, 4 Hg 3.13-3.14
4 Hg 0.6279 0.6279 0.1285  6 Pd 2.87-2.95, 2 Ag 2.94, 4 Hg 3.13-3.14
5 Hg 0.8721 0.8721 0.3719  6 Pd 2.88-2.94, 2 Ag 2.93-2.95, 4 Hg 3.13-3.14
6 Pd 0.2508 0.2508 0.2504  8 Hg 2.87-2.89, 4 Pd 3.13-3.14
7 Pd 0.5000 0.5000 0.5000  8 Hg 2.93-2.95, 4 Ag 3.13
8 Pd 0.7492 0.7492 0.7496  8 Hg 2.87-2.89, 4 Pd 3.13-3.14



Raw total energy for every record listed, in sequence, given in eV per formula unit: -24.08, -18.76, -20.34.